Material: SiP4PdPbO14
Method: DFT, GGA-PBEsol
State: optimized geometry

abc: 4.6066 6.4737 17.2352
angles: 90.00 90.00 102.36
With the nearest neighbours (Å) after each atom.
Sites, in units of the cell vectors:
Si: 0.0000 0.0000 0.0000  6 O 1.74-1.80
Si: 0.0000 0.0000 0.5000  6 O 1.74-1.80
P: 0.8824 0.6492 0.8759  4 O 1.52-1.59
P: 0.1176 0.3508 0.3759  4 O 1.52-1.59
P: 0.1176 0.3508 0.1241  4 O 1.52-1.59
P: 0.8824 0.6492 0.6241  4 O 1.52-1.59
P: 0.5678 0.2217 0.9131  4 O 1.51-1.61
P: 0.4322 0.7783 0.4131  4 O 1.51-1.61
P: 0.4322 0.7783 0.0869  4 O 1.51-1.61
P: 0.5678 0.2217 0.5869  4 O 1.51-1.61
Pd: 0.3799 0.6448 0.7500  4 O 1.99-2.00
Pd: 0.6201 0.3552 0.2500  4 O 1.99-2.00
Pb: 0.8910 0.1394 0.7500  4 O 2.48-2.74
Pb: 0.1090 0.8606 0.2500  4 O 2.48-2.74
O: 0.6730 0.4733 0.9271  2 P 1.59-1.61
O: 0.3270 0.5267 0.4271  2 P 1.59-1.61
O: 0.3270 0.5267 0.0729  2 P 1.59-1.61
O: 0.6730 0.4733 0.5729  2 P 1.59-1.61
O: 0.0685 0.8069 0.9316  1 P 1.52
O: 0.9315 0.1931 0.4316  1 P 1.52
O: 0.9315 0.1931 0.0684  1 P 1.52
O: 0.0685 0.8069 0.5684  1 P 1.52
O: 0.0725 0.5251 0.8290  1 P 1.54
O: 0.9275 0.4749 0.3290  1 P 1.54
O: 0.9275 0.4749 0.1710  1 P 1.54
O: 0.0725 0.5251 0.6710  1 P 1.54
O: 0.6888 0.7671 0.8274  1 P 1.54
O: 0.3112 0.2329 0.3274  1 P 1.54
O: 0.3112 0.2329 0.1726  1 P 1.54
O: 0.6888 0.7671 0.6726  1 P 1.54
O: 0.8446 0.1283 0.9252  1 P 1.54
O: 0.1554 0.8717 0.4252  1 P 1.54
O: 0.1554 0.8717 0.0748  1 P 1.54
O: 0.8446 0.1283 0.5748  1 P 1.54
O: 0.3463 0.1600 0.9787  1 P 1.52
O: 0.6537 0.8400 0.4787  1 P 1.52
O: 0.6537 0.8400 0.0213  1 P 1.52
O: 0.3463 0.1600 0.5213  1 P 1.52
O: 0.4616 0.1827 0.8304  1 P 1.51
O: 0.5384 0.8173 0.3304  1 P 1.51
O: 0.5384 0.8173 0.1696  1 P 1.51
O: 0.4616 0.1827 0.6696  1 P 1.51

Output
VASP energy: -7.3884 eV per atom
DOS(E_F): 0.0 states/eV/f.u.
ΔE_f (raw): -2038 meV per atom
Total moment: 0.0 μB per cell



Material: P2PbSO
Method: DFT, GGA-PBEsol
State: optimized geometry

abc: 3.8977 3.8977 6.2036
angles: 90.00 90.00 90.00
With the nearest neighbours (Å) after each atom.
Sites, in units of the cell vectors:
Pb: 0.5000 0.5000 0.5000  4 S 2.76
P: 0.0000 0.5000 0.0000  2 O 1.95
P: 0.5000 0.0000 0.0000  2 O 1.95
S: 0.0000 0.0000 0.5000  4 Pb 2.76
O: 0.0000 0.0000 0.0000  4 P 1.95

Output
VASP energy: -4.7687 eV per atom
DOS(E_F): 2.9 states/eV/f.u.
ΔE_f (raw): 274 meV per atom
Total moment: 0.0 μB per cell



Material: ScP2PbO
Method: DFT, GGA-PBEsol
State: optimized geometry

abc: 3.8583 5.1453 5.1453
angles: 90.00 90.00 90.00
With the nearest neighbours (Å) after each atom.
Sites, in units of the cell vectors:
Pb: 0.5000 0.5000 0.5000  8 P 3.22
Sc: 0.0000 0.0000 0.0000  2 O 1.93
O: 0.5000 0.0000 0.0000  2 Sc 1.93
P: 0.0000 0.0000 0.5000  2 Sc 2.57
P: 0.0000 0.5000 0.0000  2 Sc 2.57

Output
VASP energy: -5.9534 eV per atom
DOS(E_F): 4.3 states/eV/f.u.
ΔE_f (raw): -466 meV per atom
Total moment: 0.0 μB per cell
ΔE to the lowest computed polymorph: 0.0 meV per atom